A geometry-optimized AcPmAu2 structure, computed with PBE-GGA. Values from VASP.

Values from the calculation:
Its space group is R3m (160). As for the formation energy: -67 kJ/mol of atoms. Its density is 10.29 Mg/m³. For the total magnetic moment, the calculation gives 0.000 Bohr magnetons per cell. As for the density of states at the Fermi level: 4.2 states/eV/cell. For the excess energy over the best structure of this formula in the dataset, the calculation gives 0.103 eV/atom.

Cell and atoms, written as Quantum ESPRESSO input:
```
&SYSTEM
  ibrav = 0, nat = 4, ntyp = 3
/
ATOMIC_SPECIES
Au 196.97 Au.upf
Ac 227.00 Ac.upf
Pm 145.00 Pm.upf
ATOMIC_POSITIONS angstrom
Au 2.150 1.241 5.642
Ac 6.451 3.724 7.663
Au 2.150 1.241 2.073
Pm 4.300 2.483 3.907
CELL_PARAMETERS angstrom
4.300 0.000 0.000
2.150 3.724 0.000
2.150 1.241 7.714
```